# HgBi3Pb6 (PBE-GGA, relaxed)
# DFT formation energy: 0.07 eV/atom
data_HgBi3Pb6
_chemical_formula_sum 'Hg4 Bi12 Pb24'
_cell_length_a 12.358
_cell_length_b 15.813
_cell_length_c 6.728
_cell_angle_alpha 90.00
_cell_angle_beta 90.00
_cell_angle_gamma 90.00
_space_group_name_H-M_alt 'C m c 21'
_space_group_IT_number 36
loop_
_space_group_symop_operation_xyz
'x,y,z'
'-x,-y,z+1/2'
'-x,y,z'
'x,-y,z+1/2'
'x+1/2,y+1/2,z'
'-x+1/2,-y+1/2,z+1/2'
'-x+1/2,y+1/2,z'
'x+1/2,-y+1/2,z+1/2'
loop_
_atom_site_label
_atom_site_fract_x
_atom_site_fract_y
_atom_site_fract_z
Hg1 0.000 0.170 0.000
Bi1 0.000 0.360 0.884
Bi2 0.183 0.111 0.679
Pb1 0.000 0.032 0.354
Pb2 0.000 0.272 0.429
Pb3 0.141 0.469 0.500
Pb4 0.239 0.194 0.238

=====

# Hg5Bi12Pb3 (PBE-GGA, relaxed)
# DFT formation energy: 0.17 eV/atom
data_Hg5Bi12Pb3
_chemical_formula_sum 'Hg40 Bi96 Pb24'
_cell_length_a 19.978
_cell_length_b 19.978
_cell_length_c 19.978
_cell_angle_alpha 90.00
_cell_angle_beta 90.00
_cell_angle_gamma 90.00
_space_group_name_H-M_alt 'I a -3 d'
_space_group_IT_number 230
_space_group_name_Hall '-I 4bd 2c 3'
loop_
_atom_site_label
_atom_site_fract_x
_atom_site_fract_y
_atom_site_fract_z
Hg1 0.000 0.000 0.000
Hg2 0.000 0.250 0.375
Bi1 0.015 0.080 0.144
Pb1 0.000 0.250 0.125

=====

# Hg2Bi3Pb2 (PBE-GGA, relaxed)
# DFT formation energy: 0.04 eV/atom
data_Hg2Bi3Pb2
_chemical_formula_sum 'Hg4 Bi6 Pb4'
_cell_length_a 10.424
_cell_length_b 5.108
_cell_length_c 8.321
_cell_angle_alpha 90.00
_cell_angle_beta 106.90
_cell_angle_gamma 90.00
_space_group_name_H-M_alt 'C 1 2/m 1'
_space_group_IT_number 12
loop_
_space_group_symop_operation_xyz
'x,y,z'
'-x,-y,-z'
'-x,y,-z'
'x,-y,z'
'x+1/2,y+1/2,z'
'-x+1/2,-y+1/2,-z'
'-x+1/2,y+1/2,-z'
'x+1/2,-y+1/2,z'
loop_
_atom_site_label
_atom_site_fract_x
_atom_site_fract_y
_atom_site_fract_z
Hg1 0.072 0.000 0.213
Bi1 0.000 0.500 0.500
Bi2 0.139 0.500 0.934
Pb1 0.217 0.000 0.639

=====

# HgBi3Pb2 (PBE-GGA, relaxed)
# DFT formation energy: 0.06 eV/atom
data_HgBi3Pb2
_chemical_formula_sum 'Hg2 Bi6 Pb4'
_cell_length_a 5.952
_cell_length_b 8.167
_cell_length_c 9.306
_cell_angle_alpha 64.58
_cell_angle_beta 89.61
_cell_angle_gamma 69.92
_space_group_name_H-M_alt 'P -1'
_space_group_IT_number 2
loop_
_space_group_symop_operation_xyz
'x,y,z'
'-x,-y,-z'
loop_
_atom_site_label
_atom_site_fract_x
_atom_site_fract_y
_atom_site_fract_z
Hg1 0.100 0.265 0.121
Bi1 0.058 0.395 0.701
Bi2 0.283 0.930 0.965
Bi3 0.378 0.735 0.367
Pb1 0.207 0.088 0.522
Pb2 0.475 0.605 0.791

=====

# Hg2BiPb8 (PBE-GGA, relaxed)
# energy above the most stable polymorph in this dataset: 9.20 kJ/mol of atoms
# DFT formation energy: 0.11 eV/atom
data_Hg2BiPb8
_chemical_formula_sum 'Hg4 Bi2 Pb16'
_cell_length_a 15.038
_cell_length_b 8.842
_cell_length_c 5.818
_cell_angle_alpha 90.00
_cell_angle_beta 106.22
_cell_angle_gamma 90.00
_space_group_name_H-M_alt 'C 1 2/m 1'
_space_group_IT_number 12
loop_
_space_group_symop_operation_xyz
'x,y,z'
'-x,-y,-z'
'-x,y,-z'
'x,-y,z'
'x+1/2,y+1/2,z'
'-x+1/2,-y+1/2,-z'
'-x+1/2,y+1/2,-z'
'x+1/2,-y+1/2,z'
loop_
_atom_site_label
_atom_site_fract_x
_atom_site_fract_y
_atom_site_fract_z
Hg1 0.143 0.000 0.495
Bi1 0.000 0.000 0.000
Pb1 0.075 0.295 0.778
Pb2 0.123 0.500 0.313
Pb3 0.232 0.000 0.045

=====

# Hg3BiPb2 (PBE-GGA, relaxed)
# DFT formation energy: 0.05 eV/atom
data_Hg3BiPb2
_chemical_formula_sum 'Hg12 Bi4 Pb8'
_cell_length_a 10.447
_cell_length_b 6.433
_cell_length_c 11.480
_cell_angle_alpha 90.00
_cell_angle_beta 115.74
_cell_angle_gamma 90.00
_space_group_name_H-M_alt 'C 1 2/c 1'
_space_group_IT_number 15
loop_
_space_group_symop_operation_xyz
'x,y,z'
'-x,-y,-z'
'-x,y,-z+1/2'
'x,-y,z+1/2'
'x+1/2,y+1/2,z'
'-x+1/2,-y+1/2,-z'
'-x+1/2,y+1/2,-z+1/2'
'x+1/2,-y+1/2,z+1/2'
loop_
_atom_site_label
_atom_site_fract_x
_atom_site_fract_y
_atom_site_fract_z
Hg1 0.000 0.234 0.250
Hg2 0.153 0.472 0.111
Bi1 0.000 0.247 0.750
Pb1 0.184 0.017 0.558

=====

# HgBi2Pb8 (PBE-GGA, relaxed)
# energy above the most stable polymorph in this dataset: 3.57 kJ/mol of atoms
# DFT formation energy: 0.07 eV/atom
data_HgBi2Pb8
_chemical_formula_sum 'Hg2 Bi4 Pb16'
_cell_length_a 17.986
_cell_length_b 6.941
_cell_length_c 6.100
_cell_angle_alpha 90.00
_cell_angle_beta 107.84
_cell_angle_gamma 90.00
_space_group_name_H-M_alt 'C 1 2/m 1'
_space_group_IT_number 12
loop_
_space_group_symop_operation_xyz
'x,y,z'
'-x,-y,-z'
'-x,y,-z'
'x,-y,z'
'x+1/2,y+1/2,z'
'-x+1/2,-y+1/2,-z'
'-x+1/2,y+1/2,-z'
'x+1/2,-y+1/2,z'
loop_
_atom_site_label
_atom_site_fract_x
_atom_site_fract_y
_atom_site_fract_z
Hg1 0.000 0.000 0.000
Bi1 0.170 0.000 0.894
Pb1 0.082 0.259 0.426
Pb2 0.134 0.500 0.961
Pb3 0.248 0.000 0.465

=====

# HgBi4Pb2 (PBE-GGA, relaxed)
# DFT formation energy: 0.08 eV/atom
data_HgBi4Pb2
_chemical_formula_sum 'Hg2 Bi8 Pb4'
_cell_length_a 9.543
_cell_length_b 9.707
_cell_length_c 6.884
_cell_angle_alpha 90.00
_cell_angle_beta 132.69
_cell_angle_gamma 90.00
_space_group_name_H-M_alt 'C 1 2/m 1'
_space_group_IT_number 12
loop_
_space_group_symop_operation_xyz
'x,y,z'
'-x,-y,-z'
'-x,y,-z'
'x,-y,z'
'x+1/2,y+1/2,z'
'-x+1/2,-y+1/2,-z'
'-x+1/2,y+1/2,-z'
'x+1/2,-y+1/2,z'
loop_
_atom_site_label
_atom_site_fract_x
_atom_site_fract_y
_atom_site_fract_z
Hg1 0.000 0.000 0.000
Bi1 0.000 0.000 0.500
Bi2 0.000 0.500 0.500
Bi3 0.250 0.250 0.500
Pb1 0.250 0.250 0.000

=====

# Hg2Bi2Pb3 (PBE-GGA, relaxed)
# energy above the most stable polymorph in this dataset: 0.00 kJ/mol of atoms
# DFT formation energy: 0.04 eV/atom
data_Hg2Bi2Pb3
_chemical_formula_sum 'Hg4 Bi4 Pb6'
_cell_length_a 18.869
_cell_length_b 3.502
_cell_length_c 7.203
_cell_angle_alpha 90.00
_cell_angle_beta 109.32
_cell_angle_gamma 90.00
_space_group_name_H-M_alt 'C 1 2/m 1'
_space_group_IT_number 12
loop_
_space_group_symop_operation_xyz
'x,y,z'
'-x,-y,-z'
'-x,y,-z'
'x,-y,z'
'x+1/2,y+1/2,z'
'-x+1/2,-y+1/2,-z'
'-x+1/2,y+1/2,-z'
'x+1/2,-y+1/2,z'
loop_
_atom_site_label
_atom_site_fract_x
_atom_site_fract_y
_atom_site_fract_z
Hg1 0.083 0.000 0.453
Bi1 0.127 0.500 0.864
Pb1 0.000 0.000 0.000
Pb2 0.223 0.000 0.270

=====

# Hg3Bi2Pb8 (PBE-GGA, relaxed)
# energy above the most stable polymorph in this dataset: 5.16 kJ/mol of atoms
# DFT formation energy: 0.13 eV/atom
data_Hg3Bi2Pb8
_chemical_formula_sum 'Hg6 Bi4 Pb16'
_cell_length_a 15.075
_cell_length_b 8.520
_cell_length_c 7.520
_cell_angle_alpha 90.00
_cell_angle_beta 105.98
_cell_angle_gamma 90.00
_space_group_name_H-M_alt 'C 1 2/m 1'
_space_group_IT_number 12
loop_
_space_group_symop_operation_xyz
'x,y,z'
'-x,-y,-z'
'-x,y,-z'
'x,-y,z'
'x+1/2,y+1/2,z'
'-x+1/2,-y+1/2,-z'
'-x+1/2,y+1/2,-z'
'x+1/2,-y+1/2,z'
loop_
_atom_site_label
_atom_site_fract_x
_atom_site_fract_y
_atom_site_fract_z
Hg1 0.000 0.000 0.000
Hg2 0.000 0.322 0.500
Bi1 0.208 0.500 0.201
Pb1 0.099 0.000 0.436
Pb2 0.135 0.222 0.884
Pb3 0.190 0.500 0.631

=====

# Hg3BiPb (PBE-GGA, relaxed)
# energy above the most stable polymorph in this dataset: 40.38 kJ/mol of atoms
# DFT formation energy: 0.44 eV/atom
data_Hg3BiPb
_chemical_formula_sum 'Hg3 Bi1 Pb1'
_cell_length_a 5.770
_cell_length_b 5.770
_cell_length_c 5.770
_cell_angle_alpha 90.00
_cell_angle_beta 90.00
_cell_angle_gamma 90.00
_space_group_name_H-M_alt 'P m -3 m'
_space_group_IT_number 221
_space_group_name_Hall '-P 4 2 3'
loop_
_atom_site_label
_atom_site_fract_x
_atom_site_fract_y
_atom_site_fract_z
Hg1 0.000 0.000 0.500
Bi1 0.000 0.000 0.000
Pb1 0.500 0.500 0.500

=====

# HgBi6Pb12 (PBE-GGA, relaxed)
# energy above the most stable polymorph in this dataset: 0.00 kJ/mol of atoms
# DFT formation energy: 0.06 eV/atom
data_HgBi6Pb12
_chemical_formula_sum 'Hg3 Bi18 Pb36'
_cell_length_a 12.4101
_cell_length_b 12.4101
_cell_length_c 13.9472
_cell_angle_alpha 90.00
_cell_angle_beta 90.00
_cell_angle_gamma 120.00
_space_group_name_H-M_alt 'R -3'
_space_group_IT_number 148
_space_group_name_Hall '-R 3'
loop_
_atom_site_label
_atom_site_fract_x
_atom_site_fract_y
_atom_site_fract_z
Hg1 0.0000 0.0000 0.0000
Bi1 0.0197 0.4295 0.7235
Pb1 0.0362 0.1928 0.8256
Pb2 0.0582 0.8620 0.4024

=====

# HgBi2Pb (PBE-GGA, relaxed)
# energy above the most stable polymorph in this dataset: 7.17 kJ/mol of atoms
# DFT formation energy: 0.13 eV/atom
data_HgBi2Pb
_chemical_formula_sum 'Hg3 Bi6 Pb3'
_cell_length_a 4.4722
_cell_length_b 4.4722
_cell_length_c 22.2606
_cell_angle_alpha 90.00
_cell_angle_beta 90.00
_cell_angle_gamma 120.00
_space_group_name_H-M_alt 'R -3 m'
_space_group_IT_number 166
_space_group_name_Hall '-R 3 2"'
loop_
_atom_site_label
_atom_site_fract_x
_atom_site_fract_y
_atom_site_fract_z
Hg1 0.0000 0.0000 0.0000
Bi1 0.0000 0.0000 0.2558
Pb1 0.0000 0.0000 0.5000

=====

# Hg3Bi2Pb3 (PBE-GGA, relaxed)
# energy above the most stable polymorph in this dataset: 0.76 kJ/mol of atoms
# DFT formation energy: 0.04 eV/atom
data_Hg3Bi2Pb3
_chemical_formula_sum 'Hg9 Bi6 Pb9'
_cell_length_a 8.7539
_cell_length_b 8.7539
_cell_length_c 10.9797
_cell_angle_alpha 90.00
_cell_angle_beta 90.00
_cell_angle_gamma 120.00
_space_group_name_H-M_alt 'R 3 2'
_space_group_IT_number 155
_space_group_name_Hall 'R 3 2"'
loop_
_atom_site_label
_atom_site_fract_x
_atom_site_fract_y
_atom_site_fract_z
Hg1 0.0000 0.2436 0.0000
Bi1 0.0000 0.0000 0.2575
Pb1 0.0000 0.7490 0.5000

=====

# HgBi4Pb4 (PBE-GGA, relaxed)
# energy above the most stable polymorph in this dataset: 7.79 kJ/mol of atoms
# DFT formation energy: 0.14 eV/atom
data_HgBi4Pb4
_chemical_formula_sum 'Hg2 Bi8 Pb8'
_cell_length_a 7.264
_cell_length_b 7.264
_cell_length_c 12.294
_cell_angle_alpha 90.00
_cell_angle_beta 90.00
_cell_angle_gamma 90.00
_space_group_name_H-M_alt 'P 42/n m c'
_space_group_IT_number 137
loop_
_space_group_symop_operation_xyz
'x,y,z'
'-x,-y,-z'
'-y+1/2,x,z+1/2'
'y+1/2,-x,-z+1/2'
'-x+1/2,-y+1/2,z'
'x+1/2,y+1/2,-z'
'y,-x+1/2,z+1/2'
'-y,x+1/2,-z+1/2'
'x+1/2,-y,-z'
'-x+1/2,y,z'
'-y,-x,-z+1/2'
'y,x,z+1/2'
'-x,y+1/2,-z'
'x,-y+1/2,z'
'y+1/2,x+1/2,-z+1/2'
'-y+1/2,-x+1/2,z+1/2'
loop_
_atom_site_label
_atom_site_fract_x
_atom_site_fract_y
_atom_site_fract_z
Hg1 0.250 0.750 0.250
Bi1 0.027 0.250 0.049
Pb1 0.032 0.250 0.326

=====

# Hg5Bi2Pb12 (PBE-GGA, relaxed)
# energy above the most stable polymorph in this dataset: 0.00 kJ/mol of atoms
# DFT formation energy: 0.04 eV/atom
data_Hg5Bi2Pb12
_chemical_formula_sum 'Hg10 Bi4 Pb24'
_cell_length_a 16.336
_cell_length_b 9.788
_cell_length_c 7.380
_cell_angle_alpha 90.00
_cell_angle_beta 92.79
_cell_angle_gamma 90.00
_space_group_name_H-M_alt 'C 1 2/m 1'
_space_group_IT_number 12
loop_
_space_group_symop_operation_xyz
'x,y,z'
'-x,-y,-z'
'-x,y,-z'
'x,-y,z'
'x+1/2,y+1/2,z'
'-x+1/2,-y+1/2,-z'
'-x+1/2,y+1/2,-z'
'x+1/2,-y+1/2,z'
loop_
_atom_site_label
_atom_site_fract_x
_atom_site_fract_y
_atom_site_fract_z
Hg1 0.000 0.000 0.000
Hg2 0.162 0.500 0.408
Hg3 0.243 0.000 0.000
Bi1 0.000 0.224 0.500
Pb1 0.042 0.500 0.766
Pb2 0.103 0.269 0.104
Pb3 0.146 0.000 0.391
Pb4 0.196 0.247 0.702

=====

# Hg2Bi3Pb7 (PBE-GGA, relaxed)
# energy above the most stable polymorph in this dataset: 1.20 kJ/mol of atoms
# DFT formation energy: 0.06 eV/atom
data_Hg2Bi3Pb7
_chemical_formula_sum 'Hg4 Bi6 Pb14'
_cell_length_a 5.386
_cell_length_b 29.482
_cell_length_c 5.076
_cell_angle_alpha 90.00
_cell_angle_beta 90.00
_cell_angle_gamma 90.00
_space_group_name_H-M_alt 'C m m m'
_space_group_IT_number 65
_space_group_name_Hall '-C 2 2'
loop_
_atom_site_label
_atom_site_fract_x
_atom_site_fract_y
_atom_site_fract_z
Hg1 0.000 0.159 0.000
Bi1 0.000 0.347 0.500
Bi2 0.000 0.500 0.500
Pb1 0.000 0.000 0.000
Pb2 0.000 0.083 0.500
Pb3 0.000 0.280 0.000
Pb4 0.000 0.422 0.000

=====

| no. | D(E_F) (states/eV/cell) | uncorrected energy (eV/atom) | mass density (g/cm³) |
| --- | --- | --- | --- |
| 1 | 23.8 | -3.35 | 10.461 |
| 2 | 63.2 | -2.79 | 6.885 |
| 3 | 6.5 | -2.77 | 11.301 |
| 4 | 5.9 | -3.17 | 10.899 |
| 5 | 9.9 | -3.00 | 10.139 |
| 6 | 10.4 | -1.98 | 11.711 |
| 7 | 10.7 | -3.36 | 10.429 |
| 8 | 8.4 | -3.24 | 10.281 |
| 9 | 6.2 | -2.74 | 10.653 |
| 10 | 9.7 | -2.82 | 9.576 |
| 11 | 5.3 | -1.26 | 8.799 |
| 12 | 28.8 | -3.52 | 10.553 |
| 13 | 5.9 | -2.82 | 10.669 |
| 14 | 11.2 | -2.43 | 11.221 |
| 15 | 8.8 | -3.27 | 9.550 |
| 16 | 14.4 | -2.79 | 11.011 |
| 17 | 11.3 | -3.12 | 10.212 |